First-principles (PBE) data for a geometry-optimized BeSiN2 structure, as listed in Alexandria via LeMat-Bulk.

a b c (Å): 2.893 2.893 4.716
angles (deg): 90.00 90.00 120.00
Fractional positions:
1 Be 0.000 0.000 0.000
2 Si 0.333 0.667 0.463
3 N 0.000 0.000 0.606
4 N 0.333 0.667 0.105

Calculated values
space-group type	P3m1, No. 156
calculated density	3.163	g cm⁻³
raw formation energy	-1.063	eV per atom
raw total energy	-30.1	eV per formula unit